1.
Below is crystalline TlRhSe2 at its relaxed geometry, with properties calculated at the PBE-GGA level.

It has space group I4/mcm (No. 140), with a = 8.226 Å, b = 8.226 Å, c = 5.887 Å, α = 90.00°, β = 90.00° and γ = 90.00°. The distinct sites, in fractional coordinates, are Tl at (0.000, 0.000, 0.250), Rh at (0.000, 0.500, 0.250) and Se at (0.166, 0.334, 0.000).

The uncorrected formation energy comes out at -0.77 eV per formula unit. The density of states at the Fermi level comes out at 1.73 states/eV/f.u.

2.
Below is crystalline TlRhSe2 at its relaxed geometry, with properties calculated at the PBE-GGA level.

It has space group C2/c (No. 15), with a = 5.257 Å, b = 12.698 Å, c = 6.237 Å, α = 90.00°, β = 112.18° and γ = 90.00°. The distinct sites, in fractional coordinates, are Tl at (0.000, 0.086, 0.250), Rh at (0.000, 0.322, 0.750) and Se at (0.190, 0.338, 0.174).

The uncorrected formation energy comes out at -0.73 eV per formula unit. The density of states at the Fermi level comes out at 0.15 states/eV/f.u.

3.
Below is crystalline Tl2RhSe2 at its relaxed geometry, with properties calculated at the PBE-GGA level.

It has space group P4/mbm (No. 127), with a = 6.525 Å, b = 6.525 Å, c = 5.759 Å, α = 90.00°, β = 90.00° and γ = 90.00°. The distinct sites, in fractional coordinates, are Tl at (0.184, 0.316, 0.000), Rh at (0.000, 0.000, 0.500) and Se at (0.145, 0.645, 0.500).

The uncorrected formation energy comes out at -0.59 eV per formula unit. The density of states at the Fermi level comes out at 4.39 states/eV/f.u.

4.
Below is crystalline TlRhSe3 at its relaxed geometry, with properties calculated at the PBE-GGA level.

It has space group Pm-3m (No. 221), with a = 5.012 Å, b = 5.012 Å, c = 5.012 Å, α = 90.00°, β = 90.00° and γ = 90.00°. The distinct sites, in fractional coordinates, are Tl at (0.000, 0.000, 0.000), Rh at (0.500, 0.500, 0.500) and Se at (0.000, 0.500, 0.500).

As for the energy above the most stable polymorph in this dataset: 0.000 eV/atom. The uncorrected formation energy comes out at 0.55 eV per formula unit. The density of states at the Fermi level comes out at 5.89 states/eV/f.u.

5.
Below is crystalline TlRh3Se at its relaxed geometry, with properties calculated at the PBE-GGA level.

It has space group Pm-3m (No. 221), with a = 4.982 Å, b = 4.982 Å, c = 4.982 Å, α = 90.00°, β = 90.00° and γ = 90.00°. The distinct sites, in fractional coordinates, are Tl at (0.000, 0.000, 0.000), Rh at (0.000, 0.000, 0.500) and Se at (0.500, 0.500, 0.500).

As for the energy above the most stable polymorph in this dataset: 1.222 eV/atom. The uncorrected formation energy comes out at 8.04 eV per formula unit. The density of states at the Fermi level comes out at 9.93 states/eV/f.u.

6.
Below is crystalline Tl2RhSe2 at its relaxed geometry, with properties calculated at the PBE-GGA level.

It has space group R-3m (No. 166, hexagonal axes), with a = 3.7461 Å, b = 3.7461 Å, c = 32.3335 Å, α = 90.00°, β = 90.00° and γ = 120.00°. The distinct sites, in fractional coordinates, are Tl at (0.0000, 0.0000, 0.0501), Rh at (0.0000, 0.0000, 0.5000) and Se at (0.0000, 0.0000, 0.2067).

The uncorrected formation energy comes out at -1.34 eV per formula unit. The density of states at the Fermi level comes out at 1.83 states/eV/f.u.

For the records above, the corresponding total magnetic moment values read 0.0; 0.0; 0.0; 2.1; 2.5; 0.0 μB/f.u..